A plane-wave DFT calculation with GGA+U was carried out for a relaxed WBr2F crystal.

Lattice parameters (Å, degrees): 3.8571 3.8571 23.6970 90.00 90.00 120.00
Space group R-3m (No. 166, hexagonal axes)
Asymmetric unit:
W 0.0000 0.0000 0.0000 x3
Br 0.0000 0.0000 0.3997 x6
F 0.0000 0.0000 0.5000 x3

Output
Excess energy over the best structure of this formula in the dataset   3.10 eV/f.u.
Energy   -3.475 eV/atom